VASP calculation (PBE-GGA) on a relaxed structure of In2RuCl.

As for the crystal system: cubic. The value obtained for the total magnetic moment is 0.0 μB/cell. The calculation puts the formation energy from raw total energies at 0.475 eV/atom. Its energy above the most stable polymorph in this dataset is 0.766 eV/atom. The calculation puts the electronic total energy at -58.80 eV per cell.

It has space group F-43m (No. 216), with a = 6.859 Å, b = 6.859 Å, c = 6.859 Å, α = 90.00°, β = 90.00° and γ = 90.00°. Symmetry generates all atoms from In at (0.000, 0.000, 0.000), In at (0.250, 0.250, 0.250), Ru at (0.000, 0.000, 0.500) and Cl at (0.250, 0.250, 0.750).